## w
This record from the Alexandria database describes a relaxed structure of Mg2TiOs. The functional is GGA-PBE. Values from VASP.

```
&SYSTEM
  ibrav = 0, nat = 16, ntyp = 3
/
ATOMIC_SPECIES
Mg 24.30 Mg.upf
Ti 47.87 Ti.upf
Os 190.23 Os.upf
CELL_PARAMETERS angstrom
3.7815 0.0000 0.0000
0.0000 3.7815 0.0000
0.0000 0.0000 19.9370
ATOMIC_POSITIONS crystal
Mg 0.2395 0.2500 0.1250
Mg 0.2500 0.7395 0.3750
Mg 0.2500 0.7605 0.8750
Mg 0.2605 0.2500 0.6250
Mg 0.7395 0.7500 0.6250
Mg 0.7500 0.2395 0.8750
Mg 0.7500 0.2605 0.3750
Mg 0.7605 0.7500 0.1250
Ti 0.0000 0.0000 0.5000
Ti 0.0000 0.5000 0.7500
Ti 0.5000 0.0000 0.2500
Ti 0.5000 0.5000 0.0000
Os 0.0000 0.0000 0.0000
Os 0.0000 0.5000 0.2500
Os 0.5000 0.0000 0.7500
Os 0.5000 0.5000 0.5000
```

Computed properties:
Its crystal system is tetragonal. The calculation puts the density of states at the Fermi level at 6.335 states/eV per cell. The theoretical density comes out at 6.7 g/cm³. Its symmetry is No. 122.

***

## x
This record from the Alexandria database describes a relaxed structure of Mg2TiOs. The functional is GGA-PBE. Values from VASP.

```
&SYSTEM
  ibrav = 0, nat = 16, ntyp = 3
/
ATOMIC_SPECIES
Mg 24.30 Mg.upf
Ti 47.87 Ti.upf
Os 190.23 Os.upf
CELL_PARAMETERS angstrom
6.4136 0.0000 0.0000
0.0000 6.4136 0.0000
0.0000 0.0000 6.4136
ATOMIC_POSITIONS crystal
Mg 0.2500 0.2500 0.2500
Mg 0.2500 0.2500 0.7500
Mg 0.2500 0.7500 0.2500
Mg 0.2500 0.7500 0.7500
Mg 0.7500 0.2500 0.2500
Mg 0.7500 0.2500 0.7500
Mg 0.7500 0.7500 0.2500
Mg 0.7500 0.7500 0.7500
Ti 0.0000 0.0000 0.0000
Ti 0.0000 0.5000 0.5000
Ti 0.5000 0.0000 0.5000
Ti 0.5000 0.5000 0.0000
Os 0.0000 0.0000 0.5000
Os 0.0000 0.5000 0.0000
Os 0.5000 0.0000 0.0000
Os 0.5000 0.5000 0.5000
```

Computed properties:
Its crystal system is cubic. The calculation puts the density of states at the Fermi level at 21.376 states/eV per cell. The theoretical density comes out at 7.2 g/cm³. Its symmetry is No. 225.

***

Most stable: x

***

## w
This record from the Alexandria database describes a relaxed structure of Mg2TlOs. The functional is GGA-PBE. Values from VASP.

```
&SYSTEM
  ibrav = 0, nat = 12, ntyp = 3
/
ATOMIC_SPECIES
Mg 24.30 Mg.upf
Tl 204.38 Tl.upf
Os 190.23 Os.upf
CELL_PARAMETERS angstrom
3.1012 0.0000 0.0000
-1.5506 2.6857 0.0000
0.0000 0.0000 27.8890
ATOMIC_POSITIONS crystal
Mg 0.0000 0.0000 0.2406
Mg 0.0000 0.0000 0.7594
Mg 0.3333 0.6667 0.4260
Mg 0.3333 0.6667 0.9073
Mg 0.6667 0.3333 0.0927
Mg 0.6667 0.3333 0.5740
Tl 0.0000 0.0000 0.0000
Tl 0.3333 0.6667 0.6667
Tl 0.6667 0.3333 0.3333
Os 0.0000 0.0000 0.5000
Os 0.3333 0.6667 0.1667
Os 0.6667 0.3333 0.8333
```

Computed properties:
Its crystal system is trigonal. The calculation puts the density of states at the Fermi level at 8.725 states/eV per cell. The theoretical density comes out at 9.5 g/cm³. Its symmetry is No. 166.

***

## x
This record from the Alexandria database describes a relaxed structure of Mg2TlOs. The functional is GGA-PBE. Values from VASP.

```
&SYSTEM
  ibrav = 0, nat = 8, ntyp = 3
/
ATOMIC_SPECIES
Mg 24.30 Mg.upf
Tl 204.38 Tl.upf
Os 190.23 Os.upf
CELL_PARAMETERS angstrom
3.4557 0.0000 0.0000
0.0000 4.5871 0.0000
0.0000 0.0000 9.3657
ATOMIC_POSITIONS crystal
Mg 0.0000 0.0000 0.2297
Mg 0.0000 0.0000 0.7703
Mg 0.5000 0.5000 0.2703
Mg 0.5000 0.5000 0.7297
Tl 0.0000 0.5000 0.0000
Tl 0.5000 0.0000 0.5000
Os 0.0000 0.5000 0.5000
Os 0.5000 0.0000 0.0000
```

Computed properties:
Its crystal system is orthorhombic. The calculation puts the density of states at the Fermi level at 2.992 states/eV per cell. The theoretical density comes out at 9.9 g/cm³. Its symmetry is No. 71.

***

Most stable: x

***

## w
This record from the Alexandria database describes a relaxed structure of Mg2TlOs. The functional is GGA-PBE. Values from VASP.

```
&SYSTEM
  ibrav = 0, nat = 4, ntyp = 3
/
ATOMIC_SPECIES
Mg 24.30 Mg.upf
Tl 204.38 Tl.upf
Os 190.23 Os.upf
CELL_PARAMETERS angstrom
3.2202 0.0000 0.0000
0.0000 3.2202 0.0000
0.0000 0.0000 7.6040
ATOMIC_POSITIONS crystal
Mg 0.0000 0.0000 0.1949
Mg 0.0000 0.0000 0.8051
Tl 0.5000 0.5000 0.5000
Os 0.5000 0.5000 0.0000
```

Computed properties:
Its crystal system is tetragonal. The calculation puts the density of states at the Fermi level at 3.336 states/eV per cell. The theoretical density comes out at 9.3 g/cm³. Its symmetry is No. 123.

***

## x
This record from the Alexandria database describes a relaxed structure of Mg2TlOs. The functional is GGA-PBE. Values from VASP.

```
&SYSTEM
  ibrav = 0, nat = 4, ntyp = 3
/
ATOMIC_SPECIES
Mg 24.30 Mg.upf
Tl 204.38 Tl.upf
Os 190.23 Os.upf
CELL_PARAMETERS angstrom
3.5117 0.0000 0.0000
0.0000 3.5117 0.0000
0.0000 0.0000 6.0829
ATOMIC_POSITIONS crystal
Mg 0.0000 0.0000 0.0000
Mg 0.5000 0.5000 0.2693
Tl 0.5000 0.5000 0.7287
Os 0.0000 0.0000 0.4676
```

Computed properties:
Its crystal system is tetragonal. The calculation puts the density of states at the Fermi level at 1.638 states/eV per cell. The theoretical density comes out at 9.8 g/cm³. Its symmetry is No. 99.

***

## y
This record from the Alexandria database describes a relaxed structure of Mg2TlOs. The functional is GGA-PBE. Values from VASP.

```
&SYSTEM
  ibrav = 0, nat = 16, ntyp = 3
/
ATOMIC_SPECIES
Mg 24.30 Mg.upf
Tl 204.38 Tl.upf
Os 190.23 Os.upf
CELL_PARAMETERS angstrom
4.0957 0.0000 0.0000
0.0000 4.0957 0.0000
0.0000 0.0000 19.4683
ATOMIC_POSITIONS crystal
Mg 0.2236 0.2500 0.1250
Mg 0.2500 0.7236 0.3750
Mg 0.2500 0.7764 0.8750
Mg 0.2764 0.2500 0.6250
Mg 0.7236 0.7500 0.6250
Mg 0.7500 0.2236 0.8750
Mg 0.7500 0.2764 0.3750
Mg 0.7764 0.7500 0.1250
Tl 0.0000 0.0000 0.5000
Tl 0.0000 0.5000 0.7500
Tl 0.5000 0.0000 0.2500
Tl 0.5000 0.5000 0.0000
Os 0.0000 0.0000 0.0000
Os 0.0000 0.5000 0.2500
Os 0.5000 0.0000 0.7500
Os 0.5000 0.5000 0.5000
```

Computed properties:
Its crystal system is tetragonal. The calculation puts the density of states at the Fermi level at 17.714 states/eV per cell. The theoretical density comes out at 9.0 g/cm³. Its symmetry is No. 122.

***

Most stable: w

***

## w
This record from the Alexandria database describes a relaxed structure of MgTlOs. The functional is GGA-PBE. Values from VASP.

```
&SYSTEM
  ibrav = 0, nat = 3, ntyp = 3
/
ATOMIC_SPECIES
Mg 24.30 Mg.upf
Tl 204.38 Tl.upf
Os 190.23 Os.upf
CELL_PARAMETERS angstrom
4.7611 0.0000 0.0000
-2.3806 4.1233 0.0000
0.0000 0.0000 2.8813
ATOMIC_POSITIONS crystal
Mg 0.0000 0.0000 0.0000
Tl 0.3333 0.6667 0.5000
Os 0.6667 0.3333 0.5000
```

Computed properties:
Its crystal system is hexagonal. The calculation puts the density of states at the Fermi level at 1.971 states/eV per cell. The theoretical density comes out at 12.3 g/cm³. Its symmetry is No. 187.

***

## x
This record from the Alexandria database describes a relaxed structure of MgTlOs. The functional is GGA-PBE. Values from VASP.

```
&SYSTEM
  ibrav = 0, nat = 12, ntyp = 3
/
ATOMIC_SPECIES
Mg 24.30 Mg.upf
Tl 204.38 Tl.upf
Os 190.23 Os.upf
CELL_PARAMETERS angstrom
3.3501 0.0000 0.0000
0.0000 4.9174 0.0000
0.0000 0.0000 14.0442
ATOMIC_POSITIONS crystal
Mg 0.0000 0.0000 0.0000
Mg 0.0000 0.5000 0.5000
Mg 0.5000 0.0000 0.5000
Mg 0.5000 0.5000 0.0000
Tl 0.0000 0.0000 0.6916
Tl 0.0000 0.5000 0.1916
Tl 0.5000 0.0000 0.1916
Tl 0.5000 0.5000 0.6916
Os 0.0000 0.0000 0.3570
Os 0.0000 0.5000 0.8570
Os 0.5000 0.0000 0.8570
Os 0.5000 0.5000 0.3570
```

Computed properties:
Its crystal system is orthorhombic. The calculation puts the density of states at the Fermi level at 9.634 states/eV per cell. The theoretical density comes out at 12.0 g/cm³. Its symmetry is No. 42.

***

## y
This record from the Alexandria database describes a relaxed structure of MgTlOs. The functional is GGA-PBE. Values from VASP.

```
&SYSTEM
  ibrav = 0, nat = 6, ntyp = 3
/
ATOMIC_SPECIES
Mg 24.30 Mg.upf
Tl 204.38 Tl.upf
Os 190.23 Os.upf
CELL_PARAMETERS angstrom
3.0480 0.0000 0.0000
0.0000 3.0480 0.0000
0.0000 0.0000 12.5517
ATOMIC_POSITIONS crystal
Mg 0.0000 0.0000 0.0000
Mg 0.5000 0.5000 0.5000
Tl 0.0000 0.0000 0.7063
Tl 0.5000 0.5000 0.2063
Os 0.0000 0.0000 0.3661
Os 0.5000 0.5000 0.8661
```

Computed properties:
Its crystal system is tetragonal. The calculation puts the density of states at the Fermi level at 6.857 states/eV per cell. The theoretical density comes out at 11.9 g/cm³. Its symmetry is No. 107.

***

## z
This record from the Alexandria database describes a relaxed structure of MgTlOs. The functional is GGA-PBE. Values from VASP.

```
&SYSTEM
  ibrav = 0, nat = 12, ntyp = 3
/
ATOMIC_SPECIES
Mg 24.30 Mg.upf
Tl 204.38 Tl.upf
Os 190.23 Os.upf
CELL_PARAMETERS angstrom
6.4072 0.0000 0.0000
0.0000 6.4072 0.0000
0.0000 0.0000 6.4072
ATOMIC_POSITIONS crystal
Mg 0.0000 0.0000 0.0000
Mg 0.0000 0.5000 0.5000
Mg 0.5000 0.0000 0.5000
Mg 0.5000 0.5000 0.0000
Tl 0.0000 0.0000 0.5000
Tl 0.0000 0.5000 0.0000
Tl 0.5000 0.0000 0.0000
Tl 0.5000 0.5000 0.5000
Os 0.2500 0.2500 0.2500
Os 0.2500 0.7500 0.7500
Os 0.7500 0.2500 0.7500
Os 0.7500 0.7500 0.2500
```

Computed properties:
Its crystal system is cubic. The calculation puts the density of states at the Fermi level at 20.218 states/eV per cell. The theoretical density comes out at 10.6 g/cm³. Its symmetry is No. 216.

***

Most stable: y

***

## w
This record from the Alexandria database describes a relaxed structure of YTmMgOs. The functional is GGA-PBE. Values from VASP.

```
&SYSTEM
  ibrav = 0, nat = 16, ntyp = 4
/
ATOMIC_SPECIES
Y 88.91 Y.upf
Tm 168.93 Tm.upf
Mg 24.30 Mg.upf
Os 190.23 Os.upf
CELL_PARAMETERS angstrom
7.0306 0.0000 0.0000
0.0000 7.0306 0.0000
0.0000 0.0000 7.0306
ATOMIC_POSITIONS crystal
Y 0.0000 0.0000 0.0000
Y 0.0000 0.5000 0.5000
Y 0.5000 0.0000 0.5000
Y 0.5000 0.5000 0.0000
Tm 0.0000 0.0000 0.5000
Tm 0.0000 0.5000 0.0000
Tm 0.5000 0.0000 0.0000
Tm 0.5000 0.5000 0.5000
Mg 0.2500 0.2500 0.7500
Mg 0.2500 0.7500 0.2500
Mg 0.7500 0.2500 0.2500
Mg 0.7500 0.7500 0.7500
Os 0.2500 0.2500 0.2500
Os 0.2500 0.7500 0.7500
Os 0.7500 0.2500 0.7500
Os 0.7500 0.7500 0.2500
```

Computed properties:
Its crystal system is cubic. The calculation puts the density of states at the Fermi level at 14.302 states/eV per cell. The theoretical density comes out at 9.0 g/cm³. Its symmetry is No. 216.

***

## x
This record from the Alexandria database describes a relaxed structure of YTmMgOs. The functional is GGA-PBE. Values from VASP.

```
&SYSTEM
  ibrav = 0, nat = 4, ntyp = 4
/
ATOMIC_SPECIES
Y 88.91 Y.upf
Tm 168.93 Tm.upf
Mg 24.30 Mg.upf
Os 190.23 Os.upf
CELL_PARAMETERS angstrom
3.4293 0.0000 0.0000
0.0000 3.4293 0.0000
0.0000 0.0000 8.0640
ATOMIC_POSITIONS crystal
Y 0.0000 0.0000 0.0000
Tm 0.0000 0.0000 0.5946
Mg 0.5000 0.5000 0.3014
Os 0.5000 0.5000 0.7914
```

Computed properties:
Its crystal system is tetragonal. The calculation puts the density of states at the Fermi level at 2.306 states/eV per cell. The theoretical density comes out at 8.3 g/cm³. Its symmetry is No. 99.

***

Most stable: x

***

## w
This record from the Alexandria database describes a relaxed structure of MgV2Os2. The functional is GGA-PBE. Values from VASP.

```
&SYSTEM
  ibrav = 0, nat = 10, ntyp = 3
/
ATOMIC_SPECIES
Mg 24.30 Mg.upf
V 50.94 V.upf
Os 190.23 Os.upf
CELL_PARAMETERS angstrom
7.3858 0.0000 0.0000
0.0000 7.3858 0.0000
0.0000 0.0000 2.8147
ATOMIC_POSITIONS crystal
Mg 0.0000 0.0000 0.0000
Mg 0.5000 0.5000 0.0000
V 0.1443 0.3557 0.0000
V 0.3557 0.8557 0.0000
V 0.6443 0.1443 0.0000
V 0.8557 0.6443 0.0000
Os 0.1499 0.6499 0.5000
Os 0.3501 0.1499 0.5000
Os 0.6499 0.8501 0.5000
Os 0.8501 0.3501 0.5000
```

Computed properties:
Its crystal system is tetragonal. The calculation puts the density of states at the Fermi level at 8.300 states/eV per cell. The theoretical density comes out at 11.0 g/cm³. Its symmetry is No. 127.

***

## x
This record from the Alexandria database describes a relaxed structure of MgV2Os2. The functional is GGA-PBE. Values from VASP.

```
&SYSTEM
  ibrav = 0, nat = 10, ntyp = 3
/
ATOMIC_SPECIES
Mg 24.30 Mg.upf
V 50.94 V.upf
Os 190.23 Os.upf
CELL_PARAMETERS angstrom
7.3519 0.0000 0.0000
0.0000 7.3519 0.0000
0.0000 0.0000 2.8539
ATOMIC_POSITIONS crystal
Mg 0.0000 0.0000 0.0000
Mg 0.5000 0.5000 0.0000
V 0.1524 0.3476 0.5000
V 0.3476 0.8476 0.5000
V 0.6524 0.1524 0.5000
V 0.8476 0.6524 0.5000
Os 0.1423 0.6423 0.0000
Os 0.3577 0.1423 0.0000
Os 0.6423 0.8577 0.0000
Os 0.8577 0.3577 0.0000
```

Computed properties:
Its crystal system is tetragonal. The calculation puts the density of states at the Fermi level at 7.616 states/eV per cell. The theoretical density comes out at 10.9 g/cm³. Its symmetry is No. 127.

***

Most stable: x

***

## w
This record from the Alexandria database describes a relaxed structure of MgVOs3. The functional is GGA-PBE. Values from VASP.

```
&SYSTEM
  ibrav = 0, nat = 5, ntyp = 3
/
ATOMIC_SPECIES
Mg 24.30 Mg.upf
V 50.94 V.upf
Os 190.23 Os.upf
CELL_PARAMETERS angstrom
4.5094 0.0000 0.0000
0.0000 4.5094 0.0000
0.0000 0.0000 4.5094
ATOMIC_POSITIONS crystal
Mg 0.0000 0.0000 0.0000
V 0.5000 0.5000 0.5000
Os 0.0000 0.5000 0.5000
Os 0.5000 0.0000 0.5000
Os 0.5000 0.5000 0.0000
```

Computed properties:
Its crystal system is cubic. The calculation puts the density of states at the Fermi level at 6.461 states/eV per cell. The theoretical density comes out at 11.7 g/cm³. Its symmetry is No. 221.

***

## x
This record from the Alexandria database describes a relaxed structure of MgVOs3. The functional is GGA-PBE. Values from VASP.

```
&SYSTEM
  ibrav = 0, nat = 5, ntyp = 3
/
ATOMIC_SPECIES
Mg 24.30 Mg.upf
V 50.94 V.upf
Os 190.23 Os.upf
CELL_PARAMETERS angstrom
4.3793 0.0000 0.0000
0.0000 4.3793 0.0000
0.0000 0.0000 4.3793
ATOMIC_POSITIONS crystal
Mg 0.0000 0.0000 0.0000
V 0.5000 0.5000 0.5000
Os 0.0000 0.0000 0.5000
Os 0.0000 0.5000 0.0000
Os 0.5000 0.0000 0.0000
```

Computed properties:
Its crystal system is cubic. The calculation puts the density of states at the Fermi level at 3.971 states/eV per cell. The theoretical density comes out at 12.8 g/cm³. Its symmetry is No. 221.

***

Most stable: w

***

## w
This record from the Alexandria database describes a relaxed structure of Mg3OsW. The functional is GGA-PBE. Values from VASP.

```
&SYSTEM
  ibrav = 0, nat = 5, ntyp = 3
/
ATOMIC_SPECIES
Mg 24.30 Mg.upf
Os 190.23 Os.upf
W 183.84 W.upf
CELL_PARAMETERS angstrom
5.0385 0.0000 0.0000
0.0000 5.0385 0.0000
0.0000 0.0000 5.0385
ATOMIC_POSITIONS crystal
Mg 0.0000 0.0000 0.5000
Mg 0.0000 0.5000 0.0000
Mg 0.5000 0.0000 0.0000
Os 0.5000 0.5000 0.5000
W 0.0000 0.0000 0.0000
```

Computed properties:
Its crystal system is cubic. The calculation puts the density of states at the Fermi level at 5.802 states/eV per cell. The theoretical density comes out at 5.8 g/cm³. Its symmetry is No. 221.

***

## x
This record from the Alexandria database describes a relaxed structure of Mg3OsW. The functional is GGA-PBE. Values from VASP.

```
&SYSTEM
  ibrav = 0, nat = 5, ntyp = 3
/
ATOMIC_SPECIES
Mg 24.30 Mg.upf
Os 190.23 Os.upf
W 183.84 W.upf
CELL_PARAMETERS angstrom
4.7907 0.0000 0.0000
0.0000 4.7907 0.0000
0.0000 0.0000 4.7907
ATOMIC_POSITIONS crystal
Mg 0.0000 0.0000 0.5000
Mg 0.0000 0.5000 0.0000
Mg 0.5000 0.0000 0.0000
Os 0.0000 0.0000 0.0000
W 0.5000 0.5000 0.5000
```

Computed properties:
Its crystal system is cubic. The calculation puts the density of states at the Fermi level at 8.549 states/eV per cell. The theoretical density comes out at 6.8 g/cm³. Its symmetry is No. 221.

***

Most stable: x